DFT (GGA-PBE) results for TiSiW after structural relaxation.

Lattice parameters (Å, degrees): 3.3540 6.9498 11.7523 90.00 90.00 90.00
Last column: nearest neighbours and their distance in Å.
Positions (direct):
1 Ti 0.0000 0.2214 0.9423  5 Si 2.66-2.74, 6 W 2.83-2.97
2 Ti 0.0000 0.7786 0.0577  5 Si 2.66-2.74, 6 W 2.83-2.97
3 Ti 0.0000 0.2214 0.5577  5 Si 2.66-2.74, 6 W 2.83-2.97
4 Ti 0.0000 0.7786 0.4423  5 Si 2.66-2.74, 6 W 2.83-2.97
5 Ti 0.0000 0.1694 0.2500  5 Si 2.58-2.68
6 Ti 0.0000 0.8306 0.7500  5 Si 2.58-2.68
7 Si 0.5000 0.0718 0.0938  1 Si 2.42, 2 W 2.54-2.57, 6 Ti 2.58-2.67
8 Si 0.5000 0.9282 0.9062  1 Si 2.42, 2 W 2.54-2.57, 6 Ti 2.58-2.67
9 Si 0.5000 0.0718 0.4062  1 Si 2.42, 2 W 2.54-2.57, 6 Ti 2.58-2.67
10 Si 0.5000 0.9282 0.5938  1 Si 2.42, 2 W 2.54-2.57, 6 Ti 2.58-2.67
11 Si 0.0000 0.5553 0.2500  6 W 2.48-2.52, 3 Ti 2.68-2.74
12 Si 0.0000 0.4447 0.7500  6 W 2.48-2.52, 3 Ti 2.68-2.74
13 W 0.5000 0.4415 0.1052  3 Si 2.52-2.57, 1 W 2.60
14 W 0.5000 0.5585 0.8948  3 Si 2.52-2.57, 1 W 2.60
15 W 0.5000 0.4415 0.3948  3 Si 2.52-2.57, 1 W 2.60
16 W 0.5000 0.5585 0.6052  3 Si 2.52-2.57, 1 W 2.60
17 W 0.5000 0.8189 0.2500  4 Si 2.48-2.54
18 W 0.5000 0.1811 0.7500  4 Si 2.48-2.54

Calculated values
Energy relative to the elements, uncorrected = -0.47 eV/atom
E_tot = -9.23 eV/atom
Total moment = 0.0 μB per cell